Entry from the Alexandria database: a geometry-optimized Nb4V structure (PBE).

Lattice parameters (Å, degrees): 5.871 4.703 8.642 78.36 70.14 53.55
Sites, in units of the cell vectors:
Nb (0.430, 0.259, 0.601)
Nb (0.969, 0.241, 0.601)
Nb (0.237, 0.116, 0.166)
Nb (0.596, 0.384, 0.166)
Nb (0.763, 0.884, 0.834)
Nb (0.404, 0.616, 0.834)
Nb (0.031, 0.759, 0.399)
Nb (0.570, 0.741, 0.399)
V (0.051, 0.250, 0.898)
V (0.949, 0.750, 0.102)

Properties
DFT total energy = -9.61 eV per atom
polymorph energy (0 for the lowest one) = 0.000 eV/f.u.
symmetry = No. 15
formation energy = 26.09 kJ/mol of atoms
V = 181 Å³/cell